i:
VASP calculation (PBE-GGA) on a relaxed NpTcGe crystal.

a b c (Å): 4.6808 6.9520 6.9480
angles (deg): 90.00 90.00 90.00
With the nearest neighbours (Å) after each atom.
Fractional coordinates of all 12 atoms:
Np 0.2500 0.8088 0.4770  2 Tc 2.69-2.71
Np 0.7500 0.3088 0.0230  2 Tc 2.69-2.71
Np 0.2500 0.6912 0.9770  2 Tc 2.69-2.71
Np 0.7500 0.1912 0.5230  2 Tc 2.69-2.71
Tc 0.7500 0.5338 0.3423  4 Ge 2.59-2.61, 2 Np 2.69-2.71
Tc 0.7500 0.9662 0.8423  4 Ge 2.59-2.61, 2 Np 2.69-2.71
Tc 0.2500 0.0338 0.1577  4 Ge 2.59-2.61, 2 Np 2.69-2.71
Tc 0.2500 0.4662 0.6577  4 Ge 2.59-2.61, 2 Np 2.69-2.71
Ge 0.7500 0.8833 0.2067  4 Tc 2.59-2.61
Ge 0.7500 0.6167 0.7067  4 Tc 2.59-2.61
Ge 0.2500 0.1167 0.7933  4 Tc 2.59-2.61
Ge 0.2500 0.3833 0.2933  4 Tc 2.59-2.61

Output
Crystal system ... orthorhombic

ii:
VASP calculation (PBE-GGA) on a relaxed NpTcGe crystal.

a b c (Å): 3.3558 4.4136 4.4136
angles (deg): 120.00 90.00 90.00
With the nearest neighbours (Å) after each atom.
Fractional coordinates of all 3 atoms:
Np 0.6667 0.6667 0.3333  6 Tc 3.05, 6 Ge 3.05, 2 Np 3.36
Ge 0.1667 0.0000 0.0000  3 Tc 2.55
Tc 0.1667 0.3333 0.6667  3 Ge 2.55

Output
Crystal system ... hexagonal

i is favored, and the nearest alternative lies 0.164 eV/atom above it.

i:
VASP calculation (PBE-GGA) on a relaxed Np2GeTe crystal.

a b c (Å): 4.3097 4.3097 7.2981
angles (deg): 72.83 72.83 60.00
With the nearest neighbours (Å) after each atom.
Fractional coordinates of all 4 atoms:
Np 0.2590 0.2590 0.2229  3 Ge 2.92, 3 Te 3.13
Np 0.7410 0.7410 0.7771  3 Ge 2.92, 3 Te 3.13
Ge 0.0000 0.0000 0.0000  6 Np 2.92
Te 0.5000 0.5000 0.5000  6 Np 3.13

Output
Crystal system ... trigonal

ii:
VASP calculation (PBE-GGA) on a relaxed Np2GeTe crystal.

a b c (Å): 3.8880 3.8880 6.2859
angles (deg): 90.00 90.00 90.00
With the nearest neighbours (Å) after each atom.
Fractional coordinates of all 4 atoms:
Np 0.0000 0.0000 0.7772  1 Np 2.80, 4 Ge 3.09
Np 0.0000 0.0000 0.2228  1 Np 2.80, 4 Ge 3.09
Ge 0.5000 0.5000 0.0000  8 Np 3.09, 2 Te 3.14
Te 0.5000 0.5000 0.5000  2 Ge 3.14, 8 Np 3.25

Output
Crystal system ... tetragonal

i is favored, and the nearest alternative lies 0.016 eV/atom above it.

i:
VASP calculation (PBE-GGA) on a relaxed NpGeTe crystal.

a b c (Å): 3.9158 3.9158 5.6753
angles (deg): 110.18 110.18 90.00
With the nearest neighbours (Å) after each atom.
Fractional coordinates of all 3 atoms:
Np 0.3013 0.3013 0.6026  4 Ge 3.00, 5 Te 3.24-3.27
Ge 0.9173 0.9173 0.8346  1 Te 2.83, 4 Np 3.00
Te 0.6314 0.6314 0.2628  1 Ge 2.83

Output
Crystal system ... tetragonal

ii:
VASP calculation (PBE-GGA) on a relaxed NpGeTe crystal.

a b c (Å): 4.1299 4.1299 9.1400
angles (deg): 103.06 103.06 90.00
With the nearest neighbours (Å) after each atom.
Fractional coordinates of all 6 atoms:
Np 0.3744 0.3744 0.7488  4 Ge 3.00, 5 Te 3.08-3.32
Np 0.6256 0.6256 0.2512  4 Ge 3.00, 5 Te 3.08-3.32
Ge 0.0000 0.5000 0.0000  4 Ge 2.92, 4 Np 3.00
Ge 0.5000 0.0000 0.0000  4 Ge 2.92, 4 Np 3.00
Te 0.1825 0.1825 0.3650  5 Np 3.08-3.32
Te 0.8175 0.8175 0.6350  5 Np 3.08-3.32

Output
Crystal system ... tetragonal

iii:
VASP calculation (PBE-GGA) on a relaxed NpGeTe crystal.

a b c (Å): 4.7536 3.6168 9.1622
angles (deg): 90.00 105.04 90.00
With the nearest neighbours (Å) after each atom.
Fractional coordinates of all 6 atoms:
Ge 0.4386 0.7500 0.8772  2 Ge 2.83, 6 Np 3.00-3.05
Ge 0.5614 0.2500 0.1228  2 Ge 2.83, 6 Np 3.00-3.05
Te 0.8186 0.7500 0.6372  2 Np 2.99, 2 Ge 3.19
Te 0.1814 0.2500 0.3628  2 Np 2.99, 2 Ge 3.19
Np 0.9534 0.2500 0.9067  2 Np 2.45
Np 0.0466 0.7500 0.0933  2 Np 2.45

Output
Crystal system ... orthorhombic

ii is favored, and the nearest alternative lies 0.240 eV/atom above it.